TaTe2Ir: single point on PBEsol structure, SCAN.

POSCAR file:
```
TaTe2Ir
1.0
-0.384 1.190 3.002
-4.070 0.071 -2.310
-0.357 -5.143 1.993
Ir Te Ta
1 2 1
Direct
0.500 0.000 0.000
0.269 0.537 0.259
0.731 0.463 0.741
0.000 0.000 0.500
```

Computed properties:
uncorrected energy	-52.65	eV per atom
energy relative to the lowest polymorph listed for this composition	577	meV/atom
formation energy without anion corrections	393	meV per atom